<a>
Material: AsIrIO2
Method: DFT, PBE
State: optimized geometry

a b c (Å): 3.7175 3.7175 8.0942
angles (deg): 90.00 90.00 90.00
Closest atoms and distances in Å follow each position.
Fractional positions:
Ir 0.5000 0.5000 0.5000  4 I 2.63
O 0.5000 0.0000 0.0000  2 As 1.86
O 0.0000 0.5000 0.0000  2 As 1.86
As 0.0000 0.0000 0.0000  4 O 1.86
I 0.0000 0.0000 0.5000  4 Ir 2.63

Results
D(E_F): 3.290 states/eV per cell
Density: 6.32 g cm⁻³



<b>
Material: AsIrIO2
Method: DFT, PBE
State: optimized geometry

a b c (Å): 3.8164 8.4931 3.8164
angles (deg): 90.00 90.00 90.00
Closest atoms and distances in Å follow each position.
Fractional positions:
Ir 0.0000 0.0000 0.0000  4 O 1.91
As 0.5000 0.5000 0.5000  4 I 2.70
O 0.5000 0.0000 0.0000  2 Ir 1.91
O 0.0000 0.0000 0.5000  2 Ir 1.91
I 0.0000 0.5000 0.0000  4 As 2.70

Results
D(E_F): 2.473 states/eV per cell
Density: 5.72 g cm⁻³



Preferred: <b>; penalty for the next structure: 22.7 kJ/mol of atoms.